Record 1
Computed, not measured: a relaxed structure of Cu3Ni2Pd4 at the PBE level of DFT.

## Properties
Its formation enthalpy at 0 K is -0.024 eV per atom. For the electronic total energy, the calculation gives -89.680 eV per cell. The volume comes out at 241.2 Å³/cell.

Structure (CIF):
```
data_Cu3Ni2Pd4
_chemical_formula_sum 'Cu6 Ni4 Pd8'
_cell_length_a 11.389
_cell_length_b 3.784
_cell_length_c 5.916
_cell_angle_alpha 90.00
_cell_angle_beta 108.95
_cell_angle_gamma 90.00
_symmetry_space_group_name_H-M 'C 1 2/m 1'
_symmetry_Int_Tables_number 12
_symmetry_space_group_name_Hall '-C 2y'
loop_
_atom_site_label
_atom_site_type_symbol
_atom_site_fract_x
_atom_site_fract_y
_atom_site_fract_z
Cu1 Cu 0.000 0.000 0.000
Cu2 Cu 0.112 0.000 0.674
Ni1 Ni 0.172 0.500 0.002
Pd1 Pd 0.048 0.500 0.317
Pd2 Pd 0.225 0.000 0.321
```

Record 2
Computed, not measured: a relaxed structure of Er6TmNi3 at the PBE level of DFT.

## Properties
Its formation enthalpy at 0 K is -0.256 eV per atom. For the electronic total energy, the calculation gives -207.011 eV per cell. The volume comes out at 973.1 Å³/cell.

Structure (CIF):
```
data_Er6TmNi3
_chemical_formula_sum 'Er24 Tm4 Ni12'
_cell_length_a 10.816
_cell_length_b 12.868
_cell_length_c 6.992
_cell_angle_alpha 90.00
_cell_angle_beta 90.00
_cell_angle_gamma 90.00
_symmetry_space_group_name_H-M 'C m c 21'
_symmetry_Int_Tables_number 36
_symmetry_space_group_name_Hall 'C 2c -2'
loop_
_atom_site_label
_atom_site_type_symbol
_atom_site_fract_x
_atom_site_fract_y
_atom_site_fract_z
Er1 Er 0.000 0.032 0.000
Er2 Er 0.000 0.226 0.347
Er3 Er 0.167 0.463 0.510
Er4 Er 0.227 0.192 0.657
Tm1 Tm 0.000 0.321 0.885
Ni1 Ni 0.000 0.416 0.217
Ni2 Ni 0.196 0.107 0.293
```